(1)
A relaxed CoSi2Pb crystal. Source: Alexandria via LeMat-Bulk, functional GGA-PBE.

Summary:
The calculation puts the formation energy (no corrections) at 177 meV/atom. For the total energy, the calculation gives -5.24 eV per atom. Its space group is No. 99. As for the density of states at the Fermi level: 2.9 states/eV/cell.

Structure (POSCAR):
```
CoSi2Pb
1.0
-0.293 1.377 -2.712
2.073 -1.903 -1.191
-5.579 -4.896 -1.884
Co Pb Si
1 1 2
Direct
0.000 0.000 0.411
0.500 0.500 0.701
0.000 0.000 0.096
0.500 0.500 0.293
```

(2)
A relaxed SrNiH2 crystal. Source: Alexandria via LeMat-Bulk, functional GGA-PBE.

Summary:
For the total energy, the calculation gives -3.79 eV per atom. The relative energy among the computed polymorphs comes out at 0.0000 eV per atom. Its space group is No. 122. As for the density of states at the Fermi level: 0.0 states/eV/cell.

Structure (POSCAR):
```
SrNiH2
1.0
5.242 0.000 0.000
0.000 5.242 0.000
2.621 2.621 3.489
Sr H Ni
2 4 2
Direct
0.000 0.000 0.000
0.750 0.250 0.500
0.477 0.125 0.250
0.273 0.625 0.250
0.375 0.523 0.750
0.875 0.727 0.750
0.500 0.500 0.000
0.250 0.750 0.500
```

(3)
A relaxed Tb2PbS4 crystal. Source: Alexandria via LeMat-Bulk, functional GGA-PBE.

Summary:
The calculation puts the formation energy (no corrections) at -1628 meV/atom. For the total energy, the calculation gives -5.84 eV per atom. The relative energy among the computed polymorphs comes out at 0.0027 eV per atom. Its space group is No. 63.

Structure (POSCAR):
```
Tb2PbS4
1.0
3.982 0.000 0.000
-1.991 6.558 0.000
0.000 0.000 13.609
Tb Pb S
4 2 8
Direct
0.135 0.271 0.432
0.865 0.729 0.932
0.135 0.271 0.068
0.865 0.729 0.568
0.606 0.212 0.750
0.394 0.788 0.250
0.768 0.537 0.113
0.768 0.537 0.387
0.232 0.463 0.887
0.232 0.463 0.613
0.953 0.905 0.750
0.047 0.095 0.250
0.500 0.000 0.000
0.500 0.000 0.500
```

(4)
A relaxed LaNd4Co2 crystal. Source: Alexandria via LeMat-Bulk, functional GGA-PBE.

Summary:
For the total energy, the calculation gives -5.49 eV per atom. The relative energy among the computed polymorphs comes out at 0.0000 eV per atom. The calculated formation energy is -0.030 eV per atom. Its space group is No. 11. As for the density of states at the Fermi level: 18.8 states/eV/cell.

Structure (POSCAR):
```
LaNd4Co2
1.0
6.835 0.000 0.000
0.000 8.567 -2.932
0.000 -0.467 6.972
Co Nd La
4 8 2
Direct
0.250 0.341 0.966
0.750 0.659 0.034
0.750 0.327 0.359
0.250 0.673 0.641
0.502 0.434 0.716
0.250 0.209 0.236
0.750 0.791 0.764
0.998 0.434 0.716
0.750 0.994 0.334
0.002 0.566 0.284
0.498 0.566 0.284
0.250 0.006 0.666
0.250 0.791 0.009
0.750 0.209 0.991
```

(5)
A relaxed Ac3In2HgPd9 crystal. Source: Alexandria via LeMat-Bulk, functional GGA-PBE.

Summary:
For the total energy, the calculation gives -4.74 eV per atom. The calculated formation energy is -0.417 eV per atom. Its space group is No. 164. As for the density of states at the Fermi level: 10.4 states/eV/cell.

Structure (POSCAR):
```
Ac3In2HgPd9
1.0
-3.863 5.536 0.908
-2.693 -6.203 0.814
2.499 0.172 9.584
Ac In Hg Pd
3 2 1 9
Direct
0.333 0.667 0.746
0.000 0.000 0.000
0.667 0.333 0.254
0.333 0.667 0.182
0.667 0.333 0.818
0.000 0.000 0.500
0.869 0.131 0.731
0.869 0.737 0.731
0.263 0.131 0.731
0.737 0.869 0.269
0.131 0.263 0.269
0.131 0.869 0.269
0.500 0.000 0.000
0.000 0.500 0.000
0.500 0.500 0.000
```

(6)
A relaxed PaZnAsP crystal. Source: Alexandria via LeMat-Bulk, functional GGA-PBE.

Summary:
For the total energy, the calculation gives -5.62 eV per atom. The calculated formation energy is -0.417 eV per atom. Its space group is No. 216. As for the density of states at the Fermi level: 4.1 states/eV/cell.

Structure (POSCAR):
```
PaZnAsP
1.0
-0.581 -4.193 -2.181
2.916 -3.630 1.001
-1.621 -3.752 2.445
P As Pa Zn
1 1 1 1
Direct
0.750 0.750 0.750
0.250 0.250 0.250
0.500 0.500 0.500
0.000 0.000 0.000
```

(7)
A relaxed Rb2CrHCl6 crystal. Source: Alexandria via LeMat-Bulk, functional GGA-PBE.

Summary:
For the total energy, the calculation gives -3.84 eV per atom. Its space group is No. 139. As for the density of states at the Fermi level: 5.4 states/eV/cell.

Structure (POSCAR):
```
Rb2CrHCl6
1.0
7.800 0.000 0.000
0.000 7.800 0.000
3.900 3.900 4.547
Cr H Rb Cl
1 1 2 6
Direct
0.000 0.000 0.000
0.500 0.500 0.000
0.750 0.250 0.500
0.250 0.750 0.500
0.325 0.325 0.350
0.675 0.675 0.650
0.208 0.208 0.000
0.792 0.792 0.000
0.792 0.208 0.000
0.208 0.792 0.000
```

(8)
A relaxed MnCuC2 crystal. Source: Alexandria via LeMat-Bulk, functional GGA-PBE.

Summary:
For the total energy, the calculation gives -6.46 eV per atom. The relative energy among the computed polymorphs comes out at 0.5876 eV per atom. The calculated formation energy is 1.469 eV per atom. Its space group is No. 225. As for the density of states at the Fermi level: 2.0 states/eV/cell.

Structure (POSCAR):
```
MnCuC2
1.0
0.478 2.531 2.574
-2.875 1.750 1.389
-1.055 -0.661 3.422
C Mn Cu
2 1 1
Direct
0.250 0.250 0.250
0.750 0.750 0.750
0.000 0.000 0.000
0.500 0.500 0.500
```

(9)
A relaxed Rb2CdBiI6 crystal. Source: Alexandria via LeMat-Bulk, functional GGA-PBE.

Summary:
The calculation puts the formation energy (no corrections) at -824 meV/atom. For the total energy, the calculation gives -2.43 eV per atom. Its space group is No. 139. As for the density of states at the Fermi level: 3.0 states/eV/cell.

Structure (POSCAR):
```
Rb2CdBiI6
1.0
-5.162 -4.982 5.026
1.486 -6.846 -5.259
3.033 -7.495 3.319
I Bi Rb Cd
6 1 2 1
Direct
0.253 0.253 0.494
0.747 0.747 0.506
0.252 0.252 0.000
0.748 0.748 0.000
0.748 0.252 0.000
0.252 0.748 0.000
0.000 0.000 0.000
0.750 0.250 0.500
0.250 0.750 0.500
0.500 0.500 0.000
```

(10)
A relaxed Er2GeP crystal. Source: Alexandria via LeMat-Bulk, functional GGA-PBE.

Summary:
For the total energy, the calculation gives -6.02 eV per atom. The relative energy among the computed polymorphs comes out at 0.0000 eV per atom. The calculated formation energy is -1.229 eV per atom. Its space group is No. 63. As for the density of states at the Fermi level: 2.7 states/eV/cell.

Structure (POSCAR):
```
Er2GeP
1.0
3.940 0.000 0.000
0.000 4.045 -0.718
0.000 -0.097 11.203
Er Ge P
4 2 2
Direct
0.750 0.688 0.375
0.250 0.312 0.625
0.750 0.933 0.867
0.250 0.067 0.133
0.250 0.457 0.915
0.750 0.543 0.085
0.250 0.188 0.376
0.750 0.812 0.624
```

(11)
A relaxed Cd12Ga5Sb3 crystal. Source: Alexandria via LeMat-Bulk, functional GGA-PBE.

Summary:
The calculation puts the formation energy (no corrections) at 172 meV/atom. For the total energy, the calculation gives -1.75 eV per atom. Its space group is No. 230. As for the density of states at the Fermi level: 55.3 states/eV/cell.

Structure (POSCAR):
```
Cd12Ga5Sb3
1.0
-5.862 5.917 11.692
7.724 -11.485 3.809
8.530 9.579 -6.446
Sb Ga Cd
12 20 48
Direct
0.750 0.375 0.125
0.875 0.750 0.125
0.375 0.750 0.625
0.250 0.125 0.375
0.875 0.125 0.250
0.375 0.625 0.250
0.625 0.375 0.750
0.125 0.875 0.750
0.750 0.875 0.625
0.625 0.250 0.375
0.125 0.250 0.875
0.250 0.625 0.875
0.125 0.375 0.250
0.000 0.500 0.000
0.000 0.000 0.000
0.375 0.250 0.125
0.500 0.000 0.500
0.500 0.500 0.000
0.125 0.750 0.375
0.750 0.125 0.875
0.750 0.625 0.375
0.375 0.125 0.750
0.625 0.875 0.250
0.500 0.500 0.500
0.500 0.000 0.000
0.000 0.000 0.500
0.250 0.375 0.625
0.250 0.875 0.125
0.000 0.500 0.500
0.875 0.250 0.625
0.625 0.750 0.875
0.875 0.625 0.750
0.722 0.129 0.051
0.329 0.551 0.423
0.949 0.371 0.278
0.551 0.222 0.129
0.593 0.722 0.671
0.949 0.577 0.171
0.329 0.778 0.407
0.077 0.907 0.129
0.577 0.949 0.671
0.722 0.593 0.171
0.778 0.449 0.371
0.829 0.923 0.051
0.129 0.722 0.551
0.371 0.423 0.093
0.093 0.923 0.371
0.407 0.129 0.577
0.093 0.171 0.222
0.449 0.671 0.077
0.829 0.907 0.278
0.129 0.407 0.077
0.371 0.949 0.778
0.577 0.629 0.407
0.923 0.829 0.551
0.778 0.329 0.907
0.423 0.371 0.593
0.077 0.171 0.449
0.222 0.671 0.093
0.171 0.093 0.722
0.629 0.051 0.222
0.871 0.593 0.923
0.551 0.329 0.923
0.593 0.871 0.423
0.907 0.829 0.778
0.907 0.077 0.629
0.871 0.278 0.449
0.171 0.077 0.949
0.629 0.577 0.907
0.423 0.051 0.329
0.278 0.407 0.829
0.222 0.551 0.629
0.923 0.093 0.871
0.671 0.222 0.593
0.449 0.778 0.871
0.051 0.423 0.829
0.407 0.278 0.329
0.051 0.629 0.722
0.671 0.449 0.577
0.278 0.871 0.949
```

(12)
A relaxed Er4HS5 crystal. Source: Alexandria via LeMat-Bulk, functional GGA-PBE.

Summary:
For the total energy, the calculation gives -5.87 eV per atom. Its space group is No. 12. As for the density of states at the Fermi level: 2.1 states/eV/cell.

Structure (POSCAR):
```
Er4HS5
1.0
-3.782 -0.975 0.136
2.435 -9.681 -1.668
1.856 1.631 7.121
Er H S
4 1 5
Direct
0.346 0.920 0.693
0.995 0.678 0.991
0.654 0.080 0.307
0.005 0.322 0.009
0.500 0.000 0.000
0.839 0.739 0.678
0.848 0.111 0.697
0.152 0.889 0.303
0.500 0.500 0.000
0.161 0.261 0.322
```